A geometry-optimized TaTlCl2 structure, computed with PBE.

a b c (Å): 6.114 6.114 6.114
angles (deg): 140.18 140.18 57.58
Site moments in Bohr magnetons follow the coordinates.
Element x y z (fractional)
Cl: 0.000 0.000 0.000  0.02
Cl: 0.250 0.750 0.500  0.07
Tl: 0.750 0.250 0.500  0.05
Ta: 0.500 0.500 0.000  1.97

Summary:
space-group type = I-4m2
ΔE to the lowest computed polymorph = 1037 meV/atom
raw formation energy = 526 meV per atom
total DFT energy (no corrections) = -3.952 eV/atom

=====

A geometry-optimized Dy3Er2Cd2 structure, computed with PBE.

a b c (Å): 5.062 3.454 11.569
angles (deg): 90.00 77.36 90.00
Element x y z (fractional)
Er: 0.710 0.500 0.579
Dy: 0.852 0.000 0.296
Dy: 0.000 0.000 0.000
Cd: 0.431 0.500 0.138
Er: 0.290 0.500 0.421
Cd: 0.569 0.500 0.862
Dy: 0.148 0.000 0.704

Summary:
space-group type = Cmmm
ΔE to the lowest computed polymorph = 99 meV/atom
total DFT energy (no corrections) = -3.591 eV/atom

=====

A geometry-optimized InHgPb2 structure, computed with PBE.

a b c (Å): 7.120 7.120 7.120
angles (deg): 56.89 153.23 130.79
Element x y z (fractional)
In: 0.000 0.000 0.000
Hg: 0.000 0.500 0.500
Pb: 0.000 0.747 0.747
Pb: 0.000 0.253 0.253

Summary:
space-group type = Immm
ΔE to the lowest computed polymorph = 78 meV/atom
total DFT energy (no corrections) = -2.531 eV/atom

=====

A geometry-optimized YAgHgPd structure, computed with PBE.

a b c (Å): 4.881 4.881 4.881
angles (deg): 60.00 60.00 60.00
Element x y z (fractional)
Ag: 0.000 0.000 0.000
Pd: 0.500 0.500 0.500
Hg: 0.250 0.250 0.250
Y: 0.750 0.750 0.750

Summary:
space-group type = F-43m
total DFT energy (no corrections) = -4.155 eV/atom

=====

A geometry-optimized AcIrW structure, computed with PBE.

a b c (Å): 4.939 3.493 11.367
angles (deg): 90.00 90.00 134.98
Element x y z (fractional)
Ac: 0.194 0.389 0.169
W: 0.694 0.389 0.604
Ac: 0.194 0.389 0.831
Ir: 0.695 0.389 0.000
Ir: 0.194 0.389 0.500
W: 0.694 0.389 0.396

Summary:
space-group type = P4/mmm
total DFT energy (no corrections) = -8.326 eV/atom

=====

A geometry-optimized PuTeF structure, computed with PBE.

a b c (Å): 4.431 4.198 4.198
angles (deg): 120.00 90.00 90.00
Site moments in Bohr magnetons follow the coordinates.
Element x y z (fractional)
Pu: 0.166 0.000 0.000  5.13
F: 0.167 0.333 0.667  -0.02
Te: 0.667 0.667 0.333  -0.16

Summary:
space-group type = P-6m2
raw formation energy = -2171 meV per atom
total DFT energy (no corrections) = -8.620 eV/atom

=====

A geometry-optimized PmMgPaTc structure, computed with PBE.

a b c (Å): 5.076 5.076 5.076
angles (deg): 60.00 60.00 60.00
Element x y z (fractional)
Mg: 0.750 0.750 0.750
Tc: 0.250 0.250 0.250
Pa: 0.000 0.000 0.000
Pm: 0.500 0.500 0.500

Summary:
space-group type = F-43m
total DFT energy (no corrections) = -6.361 eV/atom

=====

A geometry-optimized LiNdLuFe structure, computed with PBE.

a b c (Å): 4.877 4.877 4.877
angles (deg): 60.00 60.00 60.00
Site moments in Bohr magnetons follow the coordinates.
Element x y z (fractional)
Li: 0.000 0.000 0.000  0.01
Lu: 0.750 0.750 0.750  0.07
Fe: 0.500 0.500 0.500  -0.32
Nd: 0.250 0.250 0.250  0.04

Summary:
space-group type = F-43m
total DFT energy (no corrections) = -4.798 eV/atom

=====

A geometry-optimized Tm2MgCd3 structure, computed with PBE.

a b c (Å): 6.015 6.015 9.255
angles (deg): 101.75 101.75 111.91
Element x y z (fractional)
Cd: 0.336 0.832 0.168
Tm: 0.250 0.750 0.500
Tm: 0.750 0.250 0.500
Cd: 0.167 0.167 0.335
Mg: 0.667 0.667 0.335
Tm: 0.248 0.248 0.000
Cd: 0.664 0.168 0.832
Cd: 0.833 0.833 0.665
Tm: 0.752 0.752 0.000
Mg: 0.333 0.333 0.665
Cd: 0.168 0.664 0.832
Cd: 0.832 0.336 0.168

Summary:
space-group type = Fmmm
ΔE to the lowest computed polymorph = 41 meV/atom
total DFT energy (no corrections) = -2.460 eV/atom

=====

A geometry-optimized PuZn9Ni2 structure, computed with PBE.

a b c (Å): 2.770 8.672 8.672
angles (deg): 120.00 90.00 90.00
Site moments in Bohr magnetons follow the coordinates.
Element x y z (fractional)
Zn: 0.500 0.624 0.812  -0.01
Pu: 0.000 0.000 0.000  5.35
Zn: 0.000 0.500 0.500  -0.01
Zn: 0.000 0.000 0.500  -0.01
Zn: 0.500 0.812 0.188  -0.01
Zn: 0.500 0.188 0.376  -0.01
Zn: 0.500 0.376 0.188  -0.01
Zn: 0.500 0.188 0.812  -0.01
Ni: 0.000 0.667 0.333  0.04
Zn: 0.000 0.500 0.000  -0.01
Ni: 0.000 0.333 0.667  0.04
Zn: 0.500 0.812 0.624  -0.01

Summary:
space-group type = P6/mmm
ΔE to the lowest computed polymorph = 55 meV/atom
total DFT energy (no corrections) = -3.248 eV/atom

=====

A geometry-optimized CeAlCdGa structure, computed with PBE.

a b c (Å): 4.957 4.957 4.957
angles (deg): 60.00 60.00 60.00
Element x y z (fractional)
Al: 0.500 0.500 0.500
Ga: 0.000 0.000 0.000
Ce: 0.250 0.250 0.250
Cd: 0.750 0.750 0.750

Summary:
space-group type = F-43m
total DFT energy (no corrections) = -3.652 eV/atom

=====

A geometry-optimized Cs3Na2SmCl8 structure, computed with PBE.

a b c (Å): 7.701 7.701 10.253
angles (deg): 90.00 90.00 120.00
Element x y z (fractional)
Cl: 0.675 0.837 0.343
Cl: 0.163 0.325 0.343
Cl: 0.837 0.163 0.657
Cs: 0.000 0.000 0.000
Cl: 0.333 0.667 0.946
Na: 0.333 0.667 0.193
Cl: 0.667 0.333 0.054
Cl: 0.163 0.837 0.343
Cl: 0.837 0.675 0.657
Na: 0.667 0.333 0.807
Cs: 0.333 0.667 0.631
Cl: 0.325 0.163 0.657
Cs: 0.667 0.333 0.369
Sm: 0.000 0.000 0.500

Summary:
space-group type = P-3m1
raw formation energy = -1985 meV per atom
total DFT energy (no corrections) = -3.749 eV/atom